Here is crystalline TeMoPt4 at its relaxed geometry from the Alexandria database. Energies are from PBE.

Geometry as POSCAR:
```
TeMoPt4
1.0
0.000 3.770 3.770
3.770 0.000 3.770
3.770 3.770 0.000
Pt Mo Te
4 1 1
direct
0.374 0.374 0.877
0.877 0.374 0.374
0.374 0.877 0.374
0.374 0.374 0.374
0.000 0.000 0.000
0.750 0.750 0.750
```

Results
Its space group is F-43m. The electronic total energy is -6.058 eV/atom. Its uncorrected formation energy is 298 meV per atom.

=====

Here is crystalline NiPbBr6 at its relaxed geometry from the Alexandria database. Energies are from PBE.

Geometry as POSCAR:
```
NiPbBr6
1.0
-6.174 2.206 -0.868
-4.352 -0.313 4.971
-1.739 6.332 3.275
Br Pb Ni
6 1 1
direct
0.392 0.799 0.777
0.799 0.032 0.777
0.968 0.608 0.223
0.201 0.968 0.223
0.032 0.392 0.777
0.608 0.201 0.223
0.500 0.500 0.500
0.000 0.000 0.000
```

Results
Its space group is R-3. The electronic total energy is -2.802 eV/atom. Its uncorrected formation energy is -361 meV per atom.

=====

Here is crystalline Ba4SrCd at its relaxed geometry from the Alexandria database. Energies are from PBE.

Geometry as POSCAR:
```
Ba4SrCd
1.0
4.344 0.000 0.000
0.000 4.344 0.000
0.000 0.000 17.277
Ba Sr Cd
4 1 1
direct
0.000 0.000 0.617
0.000 0.000 0.383
0.500 0.500 0.816
0.500 0.500 0.184
0.000 0.000 0.000
0.500 0.500 0.500
```

Results
Its space group is P4/mmm. The electronic total energy is -1.813 eV/atom. As for the formation energy: -0.098 eV per atom.

=====

Here is crystalline K2TlW at its relaxed geometry from the Alexandria database. Energies are from PBE.

Geometry as POSCAR:
```
K2TlW
1.0
0.000 4.121 4.121
4.121 0.000 4.121
4.121 4.121 0.000
K Tl W
2 1 1
direct
0.250 0.250 0.250
0.750 0.750 0.750
0.500 0.500 0.500
0.000 0.000 0.000
```

Results
Its space group is Fm-3m. The electronic total energy is -2.897 eV/atom. As for the formation energy: 1.481 eV per atom.

=====

Here is crystalline ScAl4Te at its relaxed geometry from the Alexandria database. Energies are from PBE.

Geometry as POSCAR:
```
ScAl4Te
1.0
0.000 3.863 3.863
3.863 0.000 3.863
3.863 3.863 0.000
Te Sc Al
1 1 4
direct
0.000 0.000 0.000
0.750 0.750 0.750
0.869 0.377 0.377
0.377 0.377 0.377
0.377 0.377 0.869
0.377 0.869 0.377
```

Results
Its space group is F-43m. The electronic total energy is -4.234 eV/atom. Its uncorrected formation energy is -160 meV per atom.

=====

Here is crystalline K2Hf2CdTe6 at its relaxed geometry from the Alexandria database. Energies are from PBE.

Geometry as POSCAR:
```
K2Hf2CdTe6
1.0
7.430 -0.140 0.068
-3.793 6.390 0.068
-1.290 -2.218 8.408
Te Cd K Hf
6 1 2 2
direct
0.932 0.578 0.298
0.068 0.422 0.702
0.578 0.932 0.298
0.422 0.068 0.702
0.283 0.283 0.312
0.717 0.717 0.688
0.000 0.000 0.500
0.844 0.156 0.000
0.156 0.844 0.000
0.328 0.672 0.500
0.672 0.328 0.500
```

Results
Its space group is C2/m. The electronic total energy is -4.619 eV/atom. Its uncorrected formation energy is -813 meV per atom.

=====

Here is crystalline Co3PdRu at its relaxed geometry from the Alexandria database. Energies are from PBE.

Geometry as POSCAR:
```
Co3PdRu
1.0
4.374 0.000 0.000
0.000 4.374 0.000
0.000 0.000 4.374
Pd Co Ru
1 3 1
direct
0.500 0.500 0.500
0.000 0.500 0.000
0.500 0.000 0.000
0.000 0.000 0.500
0.000 0.000 0.000
```

Results
Its space group is Pm-3m. The electronic total energy is -5.697 eV/atom. As for the formation energy: 1.460 eV per atom.

=====

Here is crystalline NaLiDyHg at its relaxed geometry from the Alexandria database. Energies are from PBE.

Geometry as POSCAR:
```
NaLiDyHg
1.0
-3.270 2.231 -3.298
1.008 -0.042 -5.053
-2.842 -2.902 -3.170
Dy Li Hg Na
1 1 1 1
direct
0.250 0.250 0.250
0.500 0.500 0.500
0.000 0.000 0.000
0.750 0.750 0.750
```

Results
Its space group is F-43m. The electronic total energy is -2.111 eV/atom. As for the formation energy: -0.077 eV per atom.

=====

Here is crystalline Y5InCu2 at its relaxed geometry from the Alexandria database. Energies are from PBE.

Geometry as POSCAR:
```
Y5InCu2
1.0
7.159 0.000 -3.380
-1.595 6.979 -3.380
-0.300 -0.377 8.637
Y Cu In
10 4 2
direct
0.984 0.484 0.284
0.484 0.300 0.284
0.200 0.016 0.716
0.800 0.984 0.284
0.000 0.000 0.000
0.516 0.700 0.716
0.500 0.500 0.000
0.300 0.800 0.284
0.700 0.200 0.716
0.016 0.516 0.716
0.872 0.628 0.000
0.628 0.128 0.000
0.128 0.372 0.000
0.372 0.872 0.000
0.750 0.750 0.500
0.250 0.250 0.500
```

Results
Its space group is I4/mcm. The electronic total energy is -5.661 eV/atom. As for the formation energy: -0.255 eV per atom.

=====

Here is crystalline Sm2Tl3SnTe6 at its relaxed geometry from the Alexandria database. Energies are from PBE.

Geometry as POSCAR:
```
Sm2Tl3SnTe6
1.0
-0.847 4.314 0.824
-4.419 0.759 -8.512
-6.769 -4.895 6.525
Te Tl Sn Sm
6 3 1 2
direct
0.673 0.570 0.346
0.327 0.430 0.654
0.659 0.103 0.319
0.992 0.765 0.985
0.341 0.897 0.681
0.008 0.235 0.015
0.500 0.500 0.000
0.832 0.161 0.664
0.168 0.839 0.336
0.500 0.000 0.000
0.167 0.336 0.335
0.833 0.664 0.665
```

Results
Its space group is C2/m. The electronic total energy is -4.070 eV/atom. Its uncorrected formation energy is -788 meV per atom.

=====

Here is crystalline HgPb4Cl at its relaxed geometry from the Alexandria database. Energies are from PBE.

Geometry as POSCAR:
```
HgPb4Cl
1.0
0.000 4.592 4.592
4.592 0.000 4.592
4.592 4.592 0.000
Hg Pb Cl
1 4 1
direct
0.000 0.000 0.000
0.375 0.375 0.876
0.375 0.375 0.375
0.876 0.375 0.375
0.375 0.876 0.375
0.750 0.750 0.750
```

Results
Its space group is F-43m. The electronic total energy is -2.786 eV/atom. Its uncorrected formation energy is 44 meV per atom.

=====

Here is crystalline CsSr2CrCl8 at its relaxed geometry from the Alexandria database. Energies are from PBE.

Geometry as POSCAR:
```
CsSr2CrCl8
1.0
-4.298 3.993 -2.653
-4.387 -1.633 4.471
2.902 6.782 5.421
Cl Cr Cs Sr
8 1 1 2
direct
0.427 0.260 0.501
0.573 0.740 0.499
0.151 0.785 0.182
0.849 0.215 0.818
0.844 0.210 0.180
0.701 0.770 0.998
0.156 0.790 0.820
0.299 0.230 0.002
0.000 0.000 0.000
0.000 0.000 0.500
0.499 0.498 0.758
0.501 0.502 0.242
```

Results
Its space group is P-1. The electronic total energy is -4.241 eV/atom. Its uncorrected formation energy is -1856 meV per atom.